Entry 1:
# B2H8I | the Alexandria database | PBE | relaxed
# - DOS at the Fermi energy (states/eV per atom) = 0.24
# - space-group type = C2/m, No. 12
data_B2H8I
_chemical_formula_sum 'B2 H8 I1'
_space_group_name_H-M_alt 'P 1'
_space_group_IT_number 1
_cell_length_a 8.571
_cell_length_b 8.571
_cell_length_c 2.658
_cell_angle_alpha 90.58
_cell_angle_beta 90.58
_cell_angle_gamma 130.31
loop_
_space_group_symop_operation_xyz
'x,y,z'
loop_
_atom_site_label
_atom_site_type_symbol
_atom_site_fract_x
_atom_site_fract_y
_atom_site_fract_z
_atom_site_occupancy
B1 B 0.201 0.799 0.000 1
B2 B 0.799 0.201 0.000 1
H1 H 0.018 0.682 0.990 1
H2 H 0.044 0.044 0.428 1
H3 H 0.246 0.754 0.500 1
H4 H 0.318 0.982 0.010 1
H5 H 0.682 0.018 0.990 1
H6 H 0.754 0.246 0.500 1
H7 H 0.956 0.956 0.572 1
H8 H 0.982 0.318 0.010 1
I1 I 0.500 0.500 0.500 1

---

Entry 2:
# SrCoSbIr2 | the Alexandria database | PBE | relaxed
# - DOS at the Fermi energy (states/eV per atom) = 3.87
# - space-group type = P4/mmm, No. 123
# - uncorrected formation energy (eV/atom) = 2.727
data_SrCoSbIr2
_chemical_formula_sum 'Sr1 Co1 Sb1 Ir2'
_space_group_name_H-M_alt 'P 1'
_space_group_IT_number 1
_cell_length_a 4.951
_cell_length_b 4.951
_cell_length_c 5.707
_cell_angle_alpha 90.00
_cell_angle_beta 90.00
_cell_angle_gamma 90.00
loop_
_space_group_symop_operation_xyz
'x,y,z'
loop_
_atom_site_label
_atom_site_type_symbol
_atom_site_fract_x
_atom_site_fract_y
_atom_site_fract_z
_atom_site_occupancy
Sr1 Sr 0.000 0.000 0.000 1
Co1 Co 0.500 0.500 0.500 1
Sb1 Sb 0.000 0.000 0.500 1
Ir1 Ir 0.000 0.500 0.000 1
Ir2 Ir 0.500 0.000 0.000 1

---

Let's list E_tot in order: -0.1314 -0.1249 Ha/atom.
Let's list M_tot in order: 0.37 0.35 μB/cell.